(1)
TbNdLu2 | PBE | relaxed

Results
Size of the total moment: 0.00 Bohr magnetons per cell
Fermi-level density of states: 1.59 states/eV/atom
Calculated density: 8.64 g cm⁻³
Energy above the lowest structure with this stoichiometry: 4 meV per atom
Formation energy: 31 meV per atom
VASP energy: -4.58 eV/atom

Lattice parameters (Å, degrees): 3.5553 3.5553 9.9319 90.00 90.00 90.00
Atoms (fractional coordinates):
Tb  0.0000  0.0000  0.0000
Nd  0.0000  0.0000  0.5000
Lu  0.5000  0.5000  0.2461
Lu  0.5000  0.5000  0.7539

***

(2)
ErZr2F11 | PBE | relaxed

Results
Size of the total moment: 0.00 Bohr magnetons per cell
Energy relative to the elements, uncorrected: -3822 meV/atom
Fermi-level density of states: 0.00 states/eV/atom
Calculated density: 4.45 g cm⁻³
VASP energy: -6.84 eV/atom

Lattice parameters (Å, degrees): 8.2862 8.2862 8.2862 123.58 105.81 100.05
Atoms (fractional coordinates):
Er  0.2500  0.2500  0.0000
Er  0.7500  0.7500  0.0000
Zr  0.1821  0.6388  0.8209
Zr  0.3179  0.1388  0.4566
Zr  0.6821  0.8612  0.5434
Zr  0.8179  0.3612  0.1791
F  0.0000  0.5000  0.5000
F  0.0377  0.9598  0.2779
F  0.0589  0.3613  0.1516
F  0.1819  0.4598  0.9221
F  0.2097  0.9074  0.8484
F  0.2160  0.3724  0.5883
F  0.2840  0.8724  0.1564
F  0.2903  0.1387  0.6977
F  0.3181  0.2402  0.2779
F  0.4411  0.5926  0.3023
F  0.4623  0.7402  0.9221
F  0.5000  0.0000  0.5000
F  0.5377  0.2598  0.0779
F  0.5589  0.4074  0.6977
F  0.6819  0.7598  0.7221
F  0.7097  0.8613  0.3023
F  0.7160  0.1276  0.8436
F  0.7840  0.6276  0.4117
F  0.7903  0.0926  0.1516
F  0.8181  0.5402  0.0779
F  0.9411  0.6387  0.8484
F  0.9623  0.0402  0.7221

***

(3)
Ce4Th5Pa | PBE | relaxed

Results
Size of the total moment: 0.00 Bohr magnetons per cell
Fermi-level density of states: 1.94 states/eV/atom
Calculated density: 11.09 g cm⁻³
Formation energy: 29 meV per atom
VASP energy: -7.00 eV/atom

Lattice parameters (Å, degrees): 3.4831 3.4831 24.0804 90.00 90.00 90.00
Atoms (fractional coordinates):
Ce  0.0000  0.0000  0.1005
Ce  0.0000  0.0000  0.3015
Ce  0.0000  0.0000  0.6985
Ce  0.0000  0.0000  0.8995
Th  0.5000  0.5000  0.0000
Th  0.5000  0.5000  0.2011
Th  0.5000  0.5000  0.4019
Th  0.5000  0.5000  0.5981
Th  0.5000  0.5000  0.7989
Pa  0.0000  0.0000  0.5000

***

(4)
ZrTaTe4 | PBE | relaxed

Results
Size of the total moment: 0.00 Bohr magnetons per cell
Energy relative to the elements, uncorrected: -421 meV/atom
Fermi-level density of states: 0.40 states/eV/atom
Calculated density: 7.25 g cm⁻³
Energy above the lowest structure with this stoichiometry: 167 meV per atom
VASP energy: -5.92 eV/atom

Lattice parameters (Å, degrees): 9.0983 9.0983 6.8607 103.26 103.26 130.81
Atoms (fractional coordinates):
Zr  0.0558  0.9442  0.7500
Zr  0.9442  0.0558  0.2500
Ta  0.4405  0.5595  0.2500
Ta  0.5595  0.4405  0.7500
Te  0.0724  0.4365  0.2483
Te  0.1860  0.3376  0.7568
Te  0.3376  0.1860  0.2568
Te  0.4365  0.0724  0.7483
Te  0.5635  0.9276  0.2517
Te  0.6624  0.8140  0.7432
Te  0.8140  0.6624  0.2432
Te  0.9276  0.5635  0.7517

***

(5)
VPtS2Cl | PBE | relaxed

Results
Size of the total moment: 0.00 Bohr magnetons per cell
Energy relative to the elements, uncorrected: 295 meV/atom
Fermi-level density of states: 0.89 states/eV/atom
Calculated density: 6.11 g cm⁻³
Energy above the lowest structure with this stoichiometry: 0 meV per atom
VASP energy: -4.76 eV/atom

Lattice parameters (Å, degrees): 4.6129 4.6129 4.4147 90.00 90.00 90.00
Atoms (fractional coordinates):
V  0.0000  0.0000  0.0000
Pt  0.5000  0.5000  0.5000
S  0.0000  0.5000  0.0000
S  0.5000  0.0000  0.0000
Cl  0.0000  0.0000  0.5000

***

(6)
Na3In4Ga2 | PBE | relaxed

Results
Size of the total moment: 0.00 Bohr magnetons per cell
Fermi-level density of states: 0.41 states/eV/atom
Calculated density: 5.02 g cm⁻³
Energy above the lowest structure with this stoichiometry: 4 meV per atom
Formation energy: -99 meV per atom
VASP energy: -2.43 eV/atom

Lattice parameters (Å, degrees): 8.8854 8.8854 6.5556 90.01 90.01 58.61
Atoms (fractional coordinates):
Na  0.0002  0.9998  0.2500
Na  0.9998  0.0002  0.7500
Na  0.3322  0.3317  0.2500
Na  0.3317  0.3322  0.7500
Na  0.6683  0.6678  0.2500
Na  0.6678  0.6683  0.7500
In  0.0103  0.3216  0.4991
In  0.3199  0.6655  0.0000
In  0.3216  0.0103  0.9991
In  0.3345  0.6801  0.5000
In  0.6655  0.3199  0.5000
In  0.6784  0.9897  0.0009
In  0.6801  0.3345  0.0000
In  0.9897  0.6784  0.5009
Ga  0.0018  0.6500  0.0009
Ga  0.3500  0.9982  0.4991
Ga  0.6500  0.0018  0.5009
Ga  0.9982  0.3500  0.9991

***

(7)
Ag8S6I | PBE | relaxed

Results
Size of the total moment: 0.00 Bohr magnetons per cell
Energy relative to the elements, uncorrected: 133 meV/atom
Fermi-level density of states: 0.85 states/eV/atom
Calculated density: 5.23 g cm⁻³
VASP energy: -3.14 eV/atom

Lattice parameters (Å, degrees): 7.4258 7.4258 7.4258 102.41 102.41 102.41
Atoms (fractional coordinates):
Ag  0.1418  0.3513  0.7901
Ag  0.2071  0.2071  0.2071
Ag  0.2099  0.8582  0.6487
Ag  0.3513  0.7901  0.1418
Ag  0.6487  0.2099  0.8582
Ag  0.7901  0.1418  0.3513
Ag  0.7929  0.7929  0.7929
Ag  0.8582  0.6487  0.2099
S  0.0851  0.6609  0.8349
S  0.1651  0.9149  0.3391
S  0.3391  0.1651  0.9149
S  0.6609  0.8349  0.0851
S  0.8349  0.0851  0.6609
S  0.9149  0.3391  0.1651
I  0.5000  0.5000  0.5000

***

(8)
BaRe4W | PBE | relaxed

Results
Size of the total moment: 0.00 Bohr magnetons per cell
Fermi-level density of states: 1.39 states/eV/atom
Calculated density: 15.91 g cm⁻³
Formation energy: 1015 meV per atom
VASP energy: -9.76 eV/atom

Lattice parameters (Å, degrees): 5.3985 5.3985 5.3985 60.00 60.00 60.00
Atoms (fractional coordinates):
Ba  0.0000  0.0000  0.0000
Re  0.1265  0.6245  0.6245
Re  0.6245  0.1265  0.6245
Re  0.6245  0.6245  0.1265
Re  0.6245  0.6245  0.6245
W  0.2500  0.2500  0.2500